1.
Compound: Zn2OsBr
Source: Alexandria via LeMat-Bulk
Functional: PBE-GGA
Structure: relaxed

The structure in POSCAR format:
```
Zn2OsBr
1.0
-2.9028 0.6719 0.5203
-0.8012 -2.7899 -0.8503
0.7694 -2.5222 7.5503
Zn Os Br
2 1 1
direct
0.0000 0.0000 0.5582
0.0000 0.0000 0.9418
0.5000 0.5000 0.7500
0.5000 0.5000 0.2500
```

Spin magnetization ... 0.000 μB/cell
Energy relative to the lowest polymorph listed for this composition ... 0.086 eV per atom
Raw formation energy ... 374 meV/atom
Uncorrected energy ... -3.489 eV/atom
Symmetry ... P4/mmm (123)

2.
Compound: Zn2OsBr
Source: Alexandria via LeMat-Bulk
Functional: PBE-GGA
Structure: relaxed

The structure in POSCAR format:
```
Zn2OsBr
1.0
5.4354 0.0205 -0.0008
2.6197 4.7625 0.0008
-3.5154 -3.2540 2.5686
Br Zn Os
1 2 1
direct
0.7500 0.2500 0.5000
0.4788 0.4788 0.0000
0.0212 0.0212 0.0000
0.2500 0.7500 0.5000
```

Spin magnetization ... 0.000 μB/cell
Energy relative to the lowest polymorph listed for this composition ... 0.414 eV per atom
Raw formation energy ... 702 meV/atom
Uncorrected energy ... -3.161 eV/atom
Symmetry ... Immm (71)

3.
Compound: ZnOsBr
Source: Alexandria via LeMat-Bulk
Functional: PBE-GGA
Structure: relaxed

The structure in POSCAR format:
```
ZnOsBr
1.0
-0.0020 -3.9216 -1.8277
1.8789 -3.3308 2.0236
-2.4302 -3.1649 1.6724
Os Zn Br
1 1 1
direct
0.7500 0.7500 0.7500
0.0000 0.0000 0.0000
0.5000 0.5000 0.5000
```

Spin magnetization ... 0.000 μB/cell
Energy relative to the lowest polymorph listed for this composition ... 0.348 eV per atom
Raw formation energy ... 1119 meV/atom
Uncorrected energy ... -3.606 eV/atom
Symmetry ... F-43m (216)

4.
Compound: Zn2OsBr
Source: Alexandria via LeMat-Bulk
Functional: PBE-GGA
Structure: relaxed

The structure in POSCAR format:
```
Zn2OsBr
1.0
-2.8550 -1.9812 -7.3556
-1.5593 -4.7471 -6.4199
-4.5125 -3.9689 -5.4832
Zn Os Br
2 1 1
direct
0.4939 0.4939 0.4939
0.0061 0.0061 0.0061
0.7500 0.7500 0.7500
0.2500 0.2500 0.2500
```

Spin magnetization ... 0.308 μB/cell
Energy relative to the lowest polymorph listed for this composition ... 0.108 eV per atom
Raw formation energy ... 396 meV/atom
Uncorrected energy ... -3.467 eV/atom
Symmetry ... R-3m (166)

5.
Compound: Zn2OsBr
Source: Alexandria via LeMat-Bulk
Functional: PBE-GGA
Structure: relaxed

The structure in POSCAR format:
```
Zn2OsBr
1.0
-0.8364 -4.0993 2.1517
0.0160 -4.6518 -0.7030
5.8781 -1.6155 2.0678
Zn Br Os
2 1 1
direct
0.7127 0.7127 0.8303
0.9536 0.9536 0.0463
0.6203 0.6203 0.4777
0.2134 0.2134 0.1456
```

Spin magnetization ... 0.001 μB/cell
Energy relative to the lowest polymorph listed for this composition ... 0.113 eV per atom
Raw formation energy ... 401 meV/atom
Uncorrected energy ... -3.462 eV/atom
Symmetry ... Cm (8)

6.
Compound: ZnOs2Br
Source: Alexandria via LeMat-Bulk
Functional: PBE-GGA
Structure: relaxed

The structure in POSCAR format:
```
ZnOs2Br
1.0
4.7537 -0.0033 0.0000
1.2433 4.5882 0.0000
-2.9985 -2.2925 2.8898
Br Os Zn
1 2 1
direct
0.7500 0.2500 0.5000
0.2500 0.7500 0.5000
0.0000 0.0000 0.0000
0.5000 0.5000 0.0000
```

Spin magnetization ... 0.001 μB/cell
Energy relative to the lowest polymorph listed for this composition ... 0.843 eV per atom
Raw formation energy ... 1225 meV/atom
Uncorrected energy ... -5.127 eV/atom
Symmetry ... I-4m2 (119)

The lowest uncorrected energy belongs to which entry? ZnOs2Br

Which of these has the highest uncorrected energy? number 2